1.
A PBEsol-optimized structure of ReTe3Cl. Source: Alexandria via LeMat-Bulk, functional SCAN.

crystal system = cubic
SG = Pm-3m, No. 221

abc: 5.175 5.175 5.175
angles: 90.00 90.00 90.00
Element x y z (fractional)
Re 0.000 0.000 0.000
Te 0.000 0.500 0.000
Te 0.000 0.000 0.500
Te 0.500 0.000 0.000
Cl 0.500 0.500 0.500



2.
A PBEsol-optimized structure of ReTe2Cl4. Source: Alexandria via LeMat-Bulk, functional SCAN.

crystal system = tetragonal
SG = I-4, No. 82

abc: 10.474 10.474 10.474
angles: 98.91 114.99 114.99
Element x y z (fractional)
Re 0.899 0.453 0.595
Re 0.101 0.696 0.555
Re 0.859 0.405 0.304
Re 0.141 0.445 0.547
Te 0.777 0.576 0.417
Te 0.223 0.640 0.799
Te 0.159 0.583 0.360
Te 0.841 0.201 0.424
Te 0.863 0.328 0.795
Te 0.137 0.932 0.466
Te 0.534 0.205 0.068
Te 0.466 0.534 0.672
Cl 0.604 0.274 0.517
Cl 0.396 0.912 0.670
Cl 0.757 0.483 0.088
Cl 0.243 0.330 0.726
Cl 0.889 0.603 0.795
Cl 0.111 0.906 0.714
Cl 0.808 0.205 0.094
Cl 0.192 0.286 0.397
Cl 0.138 0.452 0.024
Cl 0.862 0.885 0.314
Cl 0.429 0.976 0.115
Cl 0.571 0.686 0.548
Cl 0.832 0.085 0.719
Cl 0.168 0.886 0.253
Cl 0.367 0.281 0.114
Cl 0.633 0.747 0.915



3.
A PBEsol-optimized structure of Re2TeCl. Source: Alexandria via LeMat-Bulk, functional SCAN.

crystal system = orthorhombic
SG = Pmmm, No. 47
ΔE to the lowest computed polymorph = 0.367 eV per atom

abc: 2.938 4.453 5.173
angles: 90.00 90.00 90.00
Element x y z (fractional)
Re 0.000 0.000 0.000
Re 0.500 0.000 0.500
Te 0.500 0.500 0.000
Cl 0.000 0.500 0.500



4.
A PBEsol-optimized structure of ReTe2Cl. Source: Alexandria via LeMat-Bulk, functional SCAN.

crystal system = orthorhombic
SG = Immm, No. 71
ΔE to the lowest computed polymorph = 0.149 eV per atom

abc: 3.109 6.948 6.948
angles: 39.35 77.07 77.07
Each line ends with the local moment (μB).
Element x y z (fractional)
Re 0.000 0.500 0.500  0.43
Te 0.328 0.672 0.672  -0.01
Te 0.672 0.328 0.328  -0.01
Cl 0.500 0.000 0.000  -0.01



The evaluated E_tot for the records listed, in turn: -188.26; -725.88; -181.69; -151.51 eV per cell.